Record 1
# Ba2ScPtO5

A relaxed structure of Ba2ScPtO5 (PBE-GGA, Alexandria).

Computed properties:
crystal system: orthorhombic
uncorrected formation energy: -18.35 eV/f.u.
M_tot: 1.16 μB per formula unit

Geometry as POSCAR:
```
Ba2ScPtO5
1.0
-1.6813 3.0473 0.4033
-0.8455 -1.4438 -7.8341
-9.2377 -5.3595 1.9847
Ba O Sc Pt
4 10 2 2
direct
0.1324 0.2648 0.3100 Ba
0.1204 0.2407 0.6857 Ba
0.8676 0.7352 0.8100 Ba
0.8796 0.7593 0.1857 Ba
0.3362 0.6724 0.9995 O
0.7090 0.4181 0.1382 O
0.9411 0.8822 0.5449 O
0.0589 0.1178 0.0449 O
0.6638 0.3276 0.4995 O
0.5016 0.0032 0.7871 O
0.4984 0.9968 0.2871 O
0.6868 0.3736 0.8821 O
0.2910 0.5819 0.6382 O
0.3132 0.6264 0.3821 O
0.2118 0.4236 0.0163 Sc
0.7882 0.5764 0.5163 Sc
0.4530 0.9059 0.4601 Pt
0.5470 0.0941 0.9601 Pt
```

Record 2
# HfBi2S

A relaxed structure of HfBi2S (PBE-GGA, Alexandria).

Computed properties:
crystal system: tetragonal
uncorrected formation energy: 2.15 eV/f.u.
M_tot: 0.00 μB per formula unit

Geometry as POSCAR:
```
HfBi2S
1.0
-4.7994 -0.4847 4.1814
-4.1787 -0.2159 -4.8213
-3.9245 -7.4278 -0.4923
Bi Hf S
4 2 2
direct
0.3750 0.3841 0.7500 Bi
0.1341 0.6250 0.2500 Bi
0.6159 0.1250 0.2500 Bi
0.8750 0.8659 0.7500 Bi
0.0000 0.0000 0.0000 Hf
0.7500 0.2500 0.5000 Hf
0.2500 0.7500 0.5000 S
0.5000 0.5000 0.0000 S
```

Record 3
# CdS2Cl

A relaxed structure of CdS2Cl (PBE-GGA, Alexandria).

Computed properties:
crystal system: triclinic
offset from the most stable computed form: 0 kJ/mol of formula units
uncorrected formation energy: -1.46 eV/f.u.
M_tot: 0.00 μB per formula unit

Geometry as POSCAR:
```
CdS2Cl
1.0
3.8977 1.3639 0.3109
2.7298 5.1827 0.9642
-0.7576 1.2974 6.0023
S Cd Cl
2 1 1
direct
0.1466 0.2196 0.3191 S
0.8682 0.7460 0.4364 S
0.0067 0.4828 0.8777 Cd
0.0072 0.9829 0.8777 Cl
```

Record 4
# Sc3TcO

A relaxed structure of Sc3TcO (PBE-GGA, Alexandria).

Computed properties:
crystal system: cubic
offset from the most stable computed form: 41 kJ/mol of formula units
uncorrected formation energy: -6.19 eV/f.u.
M_tot: 0.00 μB per formula unit

Geometry as POSCAR:
```
Sc3TcO
1.0
-3.6528 0.8105 -2.2009
-2.1698 -2.7140 2.6018
-0.8902 3.2895 2.6889
Tc Sc O
1 3 1
direct
0.5000 0.5000 0.5000 Tc
0.0000 0.0000 0.5000 Sc
0.0000 0.5000 0.0000 Sc
0.5000 0.0000 0.0000 Sc
0.0000 0.0000 0.0000 O
```